[1]
Here is a geometry-optimized Cs2KMgAs structure from Alexandria via LeMat-Bulk. Energies are from PBE.

```
data_Cs2KMgAs
_symmetry_space_group_name_H-M 'P 4/m m m'
_symmetry_Int_Tables_number 123
_symmetry_space_group_name_Hall '-P 4 2'
_cell_length_a 7.6433
_cell_length_b 7.6433
_cell_length_c 5.0467
_cell_angle_alpha 90.00
_cell_angle_beta 90.00
_cell_angle_gamma 90.00
loop_
_atom_site_label
_atom_site_type_symbol
_atom_site_fract_x
_atom_site_fract_y
_atom_site_fract_z
Cs1 Cs 0.0000 0.5000 0.0000
K1 K 0.0000 0.0000 0.5000
Mg1 Mg 0.5000 0.5000 0.5000
As1 As 0.5000 0.5000 0.0000
```

## Properties
- distance to the lowest polymorph of the same formula (kcal/mol of atoms) = 0.000
- energy of formation (eV per atom) = -0.12
- Fermi-level density of states (states/eV per atom) = 0.717
- uncorrected energy (eV/cell) = -9.66
- crystal system = tetragonal

=====

[2]
Here is a geometry-optimized BaSb2Cl structure from Alexandria via LeMat-Bulk. Energies are from PBE.

```
data_BaSb2Cl
_symmetry_space_group_name_H-M 'C 1 2/m 1'
_symmetry_Int_Tables_number 12
_cell_length_a 6.2024
_cell_length_b 14.1149
_cell_length_c 4.3564
_cell_angle_alpha 90.00
_cell_angle_beta 134.58
_cell_angle_gamma 90.00
loop_
_symmetry_equiv_pos_as_xyz
'x,y,z'
'-x,-y,-z'
'-x,y,-z'
'x,-y,z'
'x+1/2,y+1/2,z'
'-x+1/2,-y+1/2,-z'
'-x+1/2,y+1/2,-z'
'x+1/2,-y+1/2,z'
loop_
_atom_site_label
_atom_site_type_symbol
_atom_site_fract_x
_atom_site_fract_y
_atom_site_fract_z
Ba1 Ba 0.0000 0.0000 0.0000
Sb1 Sb 0.2500 0.2500 0.0000
Cl1 Cl 0.0000 0.5000 0.0000
```

## Properties
- distance to the lowest polymorph of the same formula (kcal/mol of atoms) = 0.665
- ΔE_f (raw) (eV per atom) = -0.99
- Fermi-level density of states (states/eV per atom) = 0.500
- uncorrected energy (eV/cell) = -31.96
- crystal system = monoclinic

=====

[3]
Here is a geometry-optimized CaLaSmGd structure from Alexandria via LeMat-Bulk. Energies are from PBE.

```
data_CaLaSmGd
_symmetry_space_group_name_H-M 'F -4 3 m'
_symmetry_Int_Tables_number 216
_symmetry_space_group_name_Hall 'F -4 2 3'
_cell_length_a 8.3113
_cell_length_b 8.3113
_cell_length_c 8.3113
_cell_angle_alpha 90.00
_cell_angle_beta 90.00
_cell_angle_gamma 90.00
loop_
_atom_site_label
_atom_site_type_symbol
_atom_site_fract_x
_atom_site_fract_y
_atom_site_fract_z
Ca1 Ca 0.0000 0.0000 0.0000
La1 La 0.2500 0.2500 0.2500
Sm1 Sm 0.2500 0.2500 0.7500
Gd1 Gd 0.0000 0.0000 0.5000
```

## Properties
- energy of formation (eV per atom) = 0.12
- Fermi-level density of states (states/eV per atom) = 1.898
- uncorrected energy (eV/cell) = -101.03
- crystal system = cubic

=====

[4]
Here is a geometry-optimized SrHoCu2Sb2 structure from Alexandria via LeMat-Bulk. Energies are from PBE.

```
data_SrHoCu2Sb2
_symmetry_space_group_name_H-M 'P -3 m 1'
_symmetry_Int_Tables_number 164
_symmetry_space_group_name_Hall '-P 3 2"'
_cell_length_a 4.4449
_cell_length_b 4.4449
_cell_length_c 8.4650
_cell_angle_alpha 90.00
_cell_angle_beta 90.00
_cell_angle_gamma 120.00
loop_
_atom_site_label
_atom_site_type_symbol
_atom_site_fract_x
_atom_site_fract_y
_atom_site_fract_z
Sr1 Sr 0.0000 0.0000 0.0000
Ho1 Ho 0.0000 0.0000 0.5000
Cu1 Cu 0.3333 0.6667 0.6942
Sb1 Sb 0.3333 0.6667 0.2645
```

## Properties
- ΔE_f (raw) (eV per atom) = -0.68
- Fermi-level density of states (states/eV per atom) = 0.445
- uncorrected energy (eV/cell) = -26.79
- crystal system = trigonal

=====

[5]
Here is a geometry-optimized EuLuPt2 structure from Alexandria via LeMat-Bulk. Energies are from PBE.

```
data_EuLuPt2
_symmetry_space_group_name_H-M 'P 4/m m m'
_symmetry_Int_Tables_number 123
_symmetry_space_group_name_Hall '-P 4 2'
_cell_length_a 3.4653
_cell_length_b 3.4653
_cell_length_c 7.1859
_cell_angle_alpha 90.00
_cell_angle_beta 90.00
_cell_angle_gamma 90.00
loop_
_atom_site_label
_atom_site_type_symbol
_atom_site_fract_x
_atom_site_fract_y
_atom_site_fract_z
Eu1 Eu 0.0000 0.0000 0.0000
Lu1 Lu 0.0000 0.0000 0.5000
Pt1 Pt 0.5000 0.5000 0.2818
```

## Properties
- distance to the lowest polymorph of the same formula (kcal/mol of atoms) = 0.000
- energy of formation (eV per atom) = -1.14
- Fermi-level density of states (states/eV per atom) = 2.411
- uncorrected energy (eV/cell) = -31.43
- crystal system = tetragonal

=====

[6]
Here is a geometry-optimized SiH4 structure from Alexandria via LeMat-Bulk. Energies are from PBE.

```
data_SiH4
_symmetry_space_group_name_H-M 'C 1 2/m 1'
_symmetry_Int_Tables_number 12
_cell_length_a 4.6555
_cell_length_b 8.4587
_cell_length_c 4.7770
_cell_angle_alpha 90.00
_cell_angle_beta 91.83
_cell_angle_gamma 90.00
loop_
_symmetry_equiv_pos_as_xyz
'x,y,z'
'-x,-y,-z'
'-x,y,-z'
'x,-y,z'
'x+1/2,y+1/2,z'
'-x+1/2,-y+1/2,-z'
'-x+1/2,y+1/2,-z'
'x+1/2,-y+1/2,z'
loop_
_atom_site_label
_atom_site_type_symbol
_atom_site_fract_x
_atom_site_fract_y
_atom_site_fract_z
Si1 Si 0.0000 0.1657 0.0000
H1 H 0.0707 0.5000 0.4640
H2 H 0.1171 0.0000 0.8164
H3 H 0.1759 0.3078 0.8157
```

## Properties
- uncorrected energy (eV/cell) = -69.64
- crystal system = monoclinic